(1)
! Nd3SmDy2Y6 (PBE, optimized geometry); values from VASP
&SYSTEM
  ibrav = 0, nat = 12, ntyp = 4
/
ATOMIC_SPECIES
Nd 144.24 Nd.upf
Sm 150.36 Sm.upf
Dy 162.50 Dy.upf
Y 88.91 Y.upf
ATOMIC_POSITIONS crystal
Nd 0.1668 0.8332 0.5000
Nd 0.8332 0.1668 0.5000
Nd 0.5000 0.5000 0.5000
Sm 0.0000 0.0000 0.0000
Dy 0.3333 0.6667 0.0000
Dy 0.6667 0.3333 0.0000
Y 0.9174 0.5838 0.7524
Y 0.7489 0.7489 0.2475
Y 0.0826 0.4162 0.2476
Y 0.5838 0.9174 0.7524
Y 0.2511 0.2511 0.7525
Y 0.4162 0.0826 0.2476
CELL_PARAMETERS angstrom
6.2401 0.0007 0.0055
-3.1180 5.4053 0.0055
-1.0462 -1.8115 11.6870
! Space-group type: C2/m

(2)
! Ti3Co2Cu (PBE, optimized geometry); values from VASP
&SYSTEM
  ibrav = 0, nat = 6, ntyp = 3
/
ATOMIC_SPECIES
Ti 47.87 Ti.upf
Co 58.93 Co.upf
Cu 63.55 Cu.upf
ATOMIC_POSITIONS crystal
Ti 0.0000 0.0000 0.0000
Ti 0.0000 0.0000 0.6784
Ti 0.0000 0.0000 0.3216
Co 0.5000 0.5000 0.8390
Co 0.5000 0.5000 0.1610
Cu 0.5000 0.5000 0.5000
CELL_PARAMETERS angstrom
2.9865 0.0000 0.0000
0.0000 2.9865 0.0000
0.0000 0.0000 9.1370
! Space-group type: P4/mmm

(3)
! Na4Tl3Zn (PBE, optimized geometry); values from VASP
&SYSTEM
  ibrav = 0, nat = 8, ntyp = 3
/
ATOMIC_SPECIES
Na 22.99 Na.upf
Tl 204.38 Tl.upf
Zn 65.41 Zn.upf
ATOMIC_POSITIONS crystal
Na 0.3789 0.3785 0.7578
Na 0.6211 0.6215 0.2422
Na 0.1211 0.1210 0.2422
Na 0.8789 0.8790 0.7578
Tl 0.0000 0.5000 0.0000
Tl 0.7515 0.2529 0.5031
Tl 0.2485 0.7471 0.4969
Zn 0.5000 0.0000 0.0000
CELL_PARAMETERS angstrom
4.6998 0.0000 -1.2686
-0.3366 4.6957 -1.2468
0.1196 0.0808 9.7830
! Space-group type: C2/m

(4)
! YZn2Cr (PBE, optimized geometry); values from VASP
&SYSTEM
  ibrav = 0, nat = 4, ntyp = 3
/
ATOMIC_SPECIES
Cr 52.00 Cr.upf
Y 88.91 Y.upf
Zn 65.41 Zn.upf
ATOMIC_POSITIONS crystal
Cr 0.5115 0.5115 0.5115
Y 0.7490 0.7490 0.7490
Zn 0.9878 0.9878 0.9878
Zn 0.2517 0.2517 0.2517
CELL_PARAMETERS angstrom
-3.0941 1.8523 7.7329
-5.4427 -0.3039 6.5640
-2.6001 -1.4978 7.9874
! Space-group type: R3m
! Polymorph energy (0 for the lowest one): 1.35 eV per formula unit

The records above yield spin magnetization values of 0.0000, 0.0000, 0.0000, 0.8539 μB/atom, respectively.
The records above yield formation energy from the elements values of 15.2, -276.8, -39.5, 349.5 meV per atom, respectively.